(1)
## Ac3SiBr2 (PBE)

Data for a geometry-optimized Ac3SiBr2 structure.

Formation energy from raw total energies: -1.078 eV per atom

abc: 7.8176 7.8176 7.6887
angles: 99.61 99.61 116.20
Closest atoms and distances in Å follow each position.
Atoms (fractional coordinates):
Ac 0.0000 0.5000 0.0000  2 Si 3.13, 4 Br 3.24-3.29
Ac 0.1353 0.2897 0.4906  2 Si 3.05-3.09, 3 Br 3.23-3.35
Ac 0.2897 0.1353 0.9906  2 Si 3.05-3.09, 3 Br 3.23-3.35
Ac 0.5000 0.0000 0.5000  2 Si 3.13, 4 Br 3.24-3.29
Ac 0.7103 0.8647 0.0094  2 Si 3.05-3.09, 3 Br 3.23-3.35
Ac 0.8647 0.7103 0.5094  2 Si 3.05-3.09, 3 Br 3.23-3.35
Si 0.0932 0.9068 0.2500  6 Ac 3.05-3.13
Si 0.9068 0.0932 0.7500  6 Ac 3.05-3.13
Br 0.2618 0.7382 0.7500  6 Ac 3.23-3.35
Br 0.4246 0.5754 0.2500  6 Ac 3.28-3.44
Br 0.5754 0.4246 0.7500  6 Ac 3.28-3.44
Br 0.7382 0.2618 0.2500  6 Ac 3.23-3.35



(2)
## Os2RuAu (PBE)

Data for a geometry-optimized Os2RuAu structure.

Energy of formation: 0.613 eV/atom
Relative energy among the computed polymorphs: 335 meV per atom

abc: 3.8915 3.8915 3.9500
angles: 90.00 90.00 90.00
Closest atoms and distances in Å follow each position.
Atoms (fractional coordinates):
Os 0.0000 0.5000 0.0000  4 Os 2.75, 4 Ru 2.77, 4 Au 2.77
Os 0.5000 0.0000 0.0000  4 Os 2.75, 4 Ru 2.77, 4 Au 2.77
Ru 0.0000 0.0000 0.5000  4 Au 2.75, 8 Os 2.77
Au 0.5000 0.5000 0.5000  4 Ru 2.75, 8 Os 2.77



(3)
## Ga3Si (PBE)

Data for a geometry-optimized Ga3Si structure.

Formation energy from raw total energies: 0.197 eV per atom

abc: 5.8190 5.8190 4.8749
angles: 90.00 90.00 120.00
Closest atoms and distances in Å follow each position.
Atoms (fractional coordinates):
Ga 0.1689 0.3377 0.2500  8 Ga 2.87-2.97, 4 Si 2.91-2.95
Ga 0.1689 0.8311 0.2500  8 Ga 2.87-2.97, 4 Si 2.91-2.95
Ga 0.3377 0.1689 0.7500  8 Ga 2.87-2.97, 4 Si 2.91-2.95
Ga 0.6623 0.8311 0.2500  8 Ga 2.87-2.97, 4 Si 2.91-2.95
Ga 0.8311 0.1689 0.7500  8 Ga 2.87-2.97, 4 Si 2.91-2.95
Ga 0.8311 0.6623 0.7500  8 Ga 2.87-2.97, 4 Si 2.91-2.95
Si 0.3333 0.6667 0.7500  12 Ga 2.91-2.95
Si 0.6667 0.3333 0.2500  12 Ga 2.91-2.95



(4)
## Sc2AlCdH (PBE)

Data for a geometry-optimized Sc2AlCdH structure.

Relative energy among the computed polymorphs: 0 meV per atom

abc: 4.3585 4.3585 4.4245
angles: 90.00 90.00 90.00
Closest atoms and distances in Å follow each position.
Atoms (fractional coordinates):
Sc 0.0000 0.5000 0.0000  2 H 2.18
Sc 0.5000 0.0000 0.0000  2 H 2.18
Al 0.0000 0.0000 0.5000  4 Cd 3.08, 8 Sc 3.11
Cd 0.5000 0.5000 0.5000  2 H 2.21
H 0.5000 0.5000 0.0000  4 Sc 2.18, 2 Cd 2.21



(5)
## La6CdCo2 (PBE)

Data for a geometry-optimized La6CdCo2 structure.

Energy of formation: -0.168 eV/atom
Relative energy among the computed polymorphs: 0 meV per atom

abc: 8.7976 8.7976 8.7976
angles: 114.02 108.24 106.25
Closest atoms and distances in Å follow each position.
Atoms (fractional coordinates):
La 0.0113 0.2199 0.7914  1 Co 2.61
La 0.1738 0.3031 0.4769  3 Co 2.99-3.30
La 0.1738 0.6969 0.8706  3 Co 2.99-3.30
La 0.3302 0.0189 0.6887  1 Co 2.70
La 0.3302 0.6415 0.3113  1 Co 2.70
La 0.4285 0.2199 0.2086  1 Co 2.61
La 0.5715 0.7801 0.7914  1 Co 2.61
La 0.6698 0.3585 0.6887  1 Co 2.70
La 0.6698 0.9811 0.3113  1 Co 2.70
La 0.8262 0.3031 0.1294  3 Co 2.99-3.30
La 0.8262 0.6969 0.5231  3 Co 2.99-3.30
La 0.9887 0.7801 0.2086  1 Co 2.61
Cd 0.0000 0.0000 0.0000  8 La 3.17-3.41, 2 Co 3.35
Cd 0.5000 0.5000 0.0000  12 La 3.48-3.86
Co 0.1404 0.6404 0.5000  6 La 2.70-2.99, 1 Co 2.97
Co 0.3249 0.0000 0.3249  2 La 2.61
Co 0.6751 0.0000 0.6751  2 La 2.61
Co 0.8596 0.3596 0.5000  6 La 2.70-2.99, 1 Co 2.97



(6)
## Tb3Al5Se12 (PBE)

Data for a geometry-optimized Tb3Al5Se12 structure.

Formation energy from raw total energies: -1.214 eV per atom

abc: 13.6624 13.6624 13.6624
angles: 109.47 109.47 109.47
Closest atoms and distances in Å follow each position.
Atoms (fractional coordinates):
Tb 0.1250 0.2500 0.3750  8 Se 3.02-3.07
Tb 0.1250 0.3750 0.7500  8 Se 3.02-3.07
Tb 0.2500 0.3750 0.1250  8 Se 3.02-3.07
Tb 0.2500 0.8750 0.6250  8 Se 3.02-3.07
Tb 0.3750 0.1250 0.2500  8 Se 3.02-3.07
Tb 0.3750 0.7500 0.1250  8 Se 3.02-3.07
Tb 0.6250 0.2500 0.8750  8 Se 3.02-3.07
Tb 0.6250 0.8750 0.7500  8 Se 3.02-3.07
Tb 0.7500 0.1250 0.3750  8 Se 3.02-3.07
Tb 0.7500 0.6250 0.8750  8 Se 3.02-3.07
Tb 0.8750 0.6250 0.2500  8 Se 3.02-3.07
Tb 0.8750 0.7500 0.6250  8 Se 3.02-3.07
Al 0.0000 0.0000 0.0000  6 Se 2.57
Al 0.0000 0.0000 0.5000  6 Se 2.57
Al 0.0000 0.5000 0.0000  6 Se 2.57
Al 0.0000 0.5000 0.5000  6 Se 2.57
Al 0.1250 0.7500 0.8750  4 Se 2.40
Al 0.1250 0.8750 0.2500  4 Se 2.40
Al 0.2500 0.1250 0.8750  4 Se 2.40
Al 0.2500 0.6250 0.3750  4 Se 2.40
Al 0.3750 0.2500 0.6250  4 Se 2.40
Al 0.3750 0.6250 0.7500  4 Se 2.40
Al 0.5000 0.0000 0.0000  6 Se 2.57
Al 0.5000 0.0000 0.5000  6 Se 2.57
Al 0.5000 0.5000 0.0000  6 Se 2.57
Al 0.5000 0.5000 0.5000  6 Se 2.57
Al 0.6250 0.3750 0.2500  4 Se 2.40
Al 0.6250 0.7500 0.3750  4 Se 2.40
Al 0.7500 0.3750 0.6250  4 Se 2.40
Al 0.7500 0.8750 0.1250  4 Se 2.40
Al 0.8750 0.1250 0.7500  4 Se 2.40
Al 0.8750 0.2500 0.1250  4 Se 2.40
Se 0.0319 0.2083 0.1225  2 Al 2.40-2.57
Se 0.0319 0.3236 0.9094  2 Al 2.40-2.57
Se 0.0858 0.7083 0.6764  2 Al 2.40-2.57
Se 0.0858 0.8775 0.4094  2 Al 2.40-2.57
Se 0.0906 0.6225 0.4142  2 Al 2.40-2.57
Se 0.0906 0.9681 0.6764  2 Al 2.40-2.57
Se 0.1225 0.0319 0.2083  2 Al 2.40-2.57
Se 0.1225 0.5906 0.9142  2 Al 2.40-2.57
Se 0.1764 0.2083 0.5858  2 Al 2.40-2.57
Se 0.1764 0.4681 0.5906  2 Al 2.40-2.57
Se 0.2083 0.1225 0.0319  2 Al 2.40-2.57
Se 0.2083 0.5858 0.1764  2 Al 2.40-2.57
Se 0.2917 0.3236 0.9142  2 Al 2.40-2.57
Se 0.2917 0.4681 0.3775  2 Al 2.40-2.57
Se 0.3236 0.9094 0.0319  2 Al 2.40-2.57
Se 0.3236 0.9142 0.2917  2 Al 2.40-2.57
Se 0.3775 0.2917 0.4681  2 Al 2.40-2.57
Se 0.3775 0.5858 0.9094  2 Al 2.40-2.57
Se 0.4094 0.0858 0.8775  2 Al 2.40-2.57
Se 0.4094 0.8236 0.5319  2 Al 2.40-2.57
Se 0.4142 0.0906 0.6225  2 Al 2.40-2.57
Se 0.4142 0.8236 0.7917  2 Al 2.40-2.57
Se 0.4681 0.3775 0.2917  2 Al 2.40-2.57
Se 0.4681 0.5906 0.1764  2 Al 2.40-2.57
Se 0.5319 0.4094 0.8236  2 Al 2.40-2.57
Se 0.5319 0.6225 0.7083  2 Al 2.40-2.57
Se 0.5858 0.1764 0.2083  2 Al 2.40-2.57
Se 0.5858 0.9094 0.3775  2 Al 2.40-2.57
Se 0.5906 0.1764 0.4681  2 Al 2.40-2.57
Se 0.5906 0.9142 0.1225  2 Al 2.40-2.57
Se 0.6225 0.4142 0.0906  2 Al 2.40-2.57
Se 0.6225 0.7083 0.5319  2 Al 2.40-2.57
Se 0.6764 0.0858 0.7083  2 Al 2.40-2.57
Se 0.6764 0.0906 0.9681  2 Al 2.40-2.57
Se 0.7083 0.5319 0.6225  2 Al 2.40-2.57
Se 0.7083 0.6764 0.0858  2 Al 2.40-2.57
Se 0.7917 0.4142 0.8236  2 Al 2.40-2.57
Se 0.7917 0.8775 0.9681  2 Al 2.40-2.57
Se 0.8236 0.5319 0.4094  2 Al 2.40-2.57
Se 0.8236 0.7917 0.4142  2 Al 2.40-2.57
Se 0.8775 0.4094 0.0858  2 Al 2.40-2.57
Se 0.8775 0.9681 0.7917  2 Al 2.40-2.57
Se 0.9094 0.0319 0.3236  2 Al 2.40-2.57
Se 0.9094 0.3775 0.5858  2 Al 2.40-2.57
Se 0.9142 0.1225 0.5906  2 Al 2.40-2.57
Se 0.9142 0.2917 0.3236  2 Al 2.40-2.57
Se 0.9681 0.6764 0.0906  2 Al 2.40-2.57
Se 0.9681 0.7917 0.8775  2 Al 2.40-2.57



(7)
## Ti2GaCu (PBE)

Data for a geometry-optimized Ti2GaCu structure.

Energy of formation: 0.387 eV/atom

abc: 5.9813 5.9813 5.9813
angles: 153.68 134.76 53.09
Closest atoms and distances in Å follow each position.
Atoms (fractional coordinates):
Ti 0.2494 0.2494 0.0000  1 Ga 2.67, 6 Ti 2.67-2.72, 1 Cu 2.68
Ti 0.7506 0.7506 0.0000  1 Ga 2.67, 6 Ti 2.67-2.72, 1 Cu 2.68
Ga 0.0000 0.0000 0.0000  2 Ti 2.67, 4 Cu 2.67, 2 Ga 2.72
Cu 0.5000 0.5000 0.0000  4 Ga 2.67, 2 Ti 2.68, 2 Cu 2.72